Hf2CN | the Alexandria database | PBE | optimized geometry; total magnetic moment = 0.000 Bohr magnetons per cell; formation energy from raw total energies = -1187 meV/atom; crystal system = hexagonal; SG = P-6m2, No. 187; polymorph energy (0 for the lowest one) = 227 meV per atom
1.0
3.791 -0.001 0.000
-1.896 3.283 0.001
0.000 -0.001 4.583
Hf C N
2 1 1
direct
0.403 0.829 0.630
0.736 0.496 0.130
0.403 0.829 0.130
0.736 0.496 0.630

Hf8C2N | the Alexandria database | PBE | optimized geometry; total magnetic moment = 0.000 Bohr magnetons per cell; formation energy from raw total energies = -614 meV/atom; crystal system = monoclinic; SG = C2/m, No. 12; polymorph energy (0 for the lowest one) = 10 meV per atom
1.0
-1.704 -1.510 5.045
6.214 1.633 0.645
1.571 6.246 0.457
C Hf N
2 8 1
direct
0.490 0.747 0.747
0.510 0.253 0.253
0.757 0.125 0.125
0.746 0.115 0.632
0.243 0.875 0.875
0.261 0.375 0.375
0.746 0.632 0.115
0.254 0.885 0.368
0.739 0.625 0.625
0.254 0.368 0.885
0.000 0.000 0.000

Hf3CN2 | the Alexandria database | PBE | optimized geometry; total magnetic moment = 0.000 Bohr magnetons per cell; formation energy from raw total energies = -484 meV/atom; crystal system = orthorhombic; SG = Cmcm, No. 63; polymorph energy (0 for the lowest one) = 1063 meV per atom
1.0
5.454 0.000 0.000
0.000 6.362 -0.558
0.000 -2.154 6.012
C N Hf
2 4 6
direct
0.750 0.765 0.235
0.250 0.235 0.765
0.500 0.797 0.797
0.000 0.203 0.203
0.000 0.797 0.797
0.500 0.203 0.203
0.250 0.910 0.090
0.250 0.404 0.132
0.250 0.868 0.596
0.750 0.596 0.868
0.750 0.090 0.910
0.750 0.132 0.404

Hf2CN | the Alexandria database | PBE | optimized geometry; total magnetic moment = 0.000 Bohr magnetons per cell; formation energy from raw total energies = -978 meV/atom; crystal system = tetragonal; SG = I-42d, No. 122; polymorph energy (0 for the lowest one) = 436 meV per atom
1.0
4.958 0.000 0.000
0.000 4.958 0.000
2.479 2.479 4.989
C N Hf
2 2 4
direct
0.500 0.500 0.000
0.250 0.750 0.500
0.000 0.000 0.000
0.750 0.250 0.500
0.631 0.125 0.250
0.119 0.625 0.250
0.875 0.881 0.750
0.375 0.369 0.750

Hf6C3N2 | the Alexandria database | PBE | optimized geometry; total magnetic moment = 0.000 Bohr magnetons per cell; formation energy from raw total energies = -1076 meV/atom; crystal system = trigonal; SG = P-31m, No. 162
1.0
-4.859 -0.920 2.331
0.135 -5.268 -1.798
2.139 1.300 4.973
Hf N C
6 2 3
direct
0.744 0.658 0.000
0.744 0.342 0.342
0.256 0.342 0.000
0.744 0.000 0.658
0.256 0.658 0.658
0.256 0.000 0.342
0.500 0.333 0.667
0.500 0.667 0.333
0.500 0.000 0.000
0.000 0.333 0.667
0.000 0.667 0.333

Hf8CN2 | the Alexandria database | PBE | optimized geometry; total magnetic moment = 0.000 Bohr magnetons per cell; formation energy from raw total energies = -601 meV/atom; crystal system = monoclinic; SG = C2/m, No. 12; polymorph energy (0 for the lowest one) = 199 meV per atom
1.0
5.223 -0.014 -0.011
0.036 6.740 1.002
0.036 2.780 6.221
N Hf C
2 8 1
direct
0.655 0.816 0.816
0.345 0.184 0.184
0.750 0.172 0.681
0.251 0.347 0.347
0.250 0.319 0.828
0.750 0.681 0.172
0.746 0.157 0.157
0.749 0.653 0.653
0.250 0.828 0.319
0.254 0.843 0.843
0.000 0.000 0.000

Hf3C2N | the Alexandria database | PBE | optimized geometry; total magnetic moment = 0.000 Bohr magnetons per cell; formation energy from raw total energies = -1279 meV/atom; crystal system = orthorhombic; SG = Immm, No. 71; polymorph energy (0 for the lowest one) = 0 meV per atom
1.0
-0.873 -2.235 2.215
0.897 -3.361 -3.038
4.602 2.582 2.012
C N Hf
2 1 3
direct
0.167 0.667 0.334
0.833 0.333 0.666
0.500 0.000 0.000
0.832 0.832 0.664
0.168 0.168 0.336
0.500 0.500 0.000

Hf8CN2 | the Alexandria database | PBE | optimized geometry; total magnetic moment = 0.000 Bohr magnetons per cell; formation energy from raw total energies = -800 meV/atom; crystal system = monoclinic; SG = C2/m, No. 12; polymorph energy (0 for the lowest one) = 0 meV per atom
1.0
4.910 -0.088 0.165
0.097 6.080 1.866
-0.163 -0.040 6.358
Hf C N
8 1 2
direct
0.759 0.314 0.896
0.759 0.896 0.314
0.742 0.823 0.823
0.751 0.391 0.391
0.249 0.609 0.609
0.241 0.686 0.104
0.258 0.177 0.177
0.241 0.104 0.686
0.000 0.000 0.000
0.747 0.609 0.609
0.253 0.391 0.391